(1)
The following is a DFT calculation (PBE) of crystalline BeIrN2 at its relaxed geometry.

```
4
Lattice="-1.535 -4.430 2.503 0.779 -5.241 0.403 1.565 -3.912 3.238" Properties=species:S:1:pos:R:3 pbc="T T T"
Be 0.000 0.000 0.000
Ir 0.404 -6.792 3.072
N 0.726 -12.186 5.512
N 0.083 -1.397 0.632
```

Properties
Space group: R-3m (166)



(2)
The following is a DFT calculation (PBE) of crystalline BeNb2IrN at its relaxed geometry.

```
5
Lattice="4.447 0.000 0.000 0.000 4.447 0.000 0.000 0.000 3.287" Properties=species:S:1:pos:R:3 pbc="T T T"
Be 0.000 0.000 1.643
Nb 0.000 2.223 0.000
Nb 2.223 0.000 0.000
Ir 2.223 2.223 1.643
N 0.000 0.000 0.000
```

Properties
Space group: P4/mmm (123)



(3)
The following is a DFT calculation (PBE) of crystalline NdBeIrN at its relaxed geometry.

```
8
Lattice="3.768 0.000 0.000 0.000 3.768 0.000 0.000 0.000 8.220" Properties=species:S:1:pos:R:3 pbc="T T T"
Nd 0.000 1.884 6.905
Nd 1.884 0.000 1.315
Be 0.000 1.884 2.708
Be 1.884 0.000 5.512
Ir 0.000 0.000 4.110
Ir 1.884 1.884 4.110
N 1.884 0.000 7.122
N 0.000 1.884 1.098
```

Properties
Space group: P4/nmm (129)



(4)
The following is a DFT calculation (PBE) of crystalline Be2NiIrN at its relaxed geometry.

```
5
Lattice="4.368 0.000 0.000 0.000 3.670 0.000 0.000 0.000 4.368" Properties=species:S:1:pos:R:3 pbc="T T T"
Ni 2.184 1.835 2.184
Ir 0.000 0.000 0.000
Be 0.000 0.000 2.184
Be 2.184 0.000 0.000
N 0.000 1.835 0.000
```

Properties
Space group: P4/mmm (123)



(5)
The following is a DFT calculation (PBE) of crystalline BeIrNO2 at its relaxed geometry.

```
5
Lattice="-3.820 0.884 -0.802 0.775 -0.206 -3.921 -0.831 -3.572 0.024" Properties=species:S:1:pos:R:3 pbc="T T T"
Be -1.938 -1.448 -2.349
Ir 0.000 0.000 0.000
O 0.388 -0.103 -1.960
O -1.910 0.442 -0.401
N -0.416 -1.786 0.012
```

Properties
Space group: P4/mmm (123)



(6)
The following is a DFT calculation (PBE) of crystalline BeIrNO2 at its relaxed geometry.

```
5
Lattice="3.404 0.000 0.000 0.000 3.404 0.000 0.000 0.000 3.592" Properties=species:S:1:pos:R:3 pbc="T T T"
Be 0.000 0.000 0.000
Ir 1.702 1.702 1.796
O 0.000 1.702 0.000
O 1.702 0.000 0.000
N 0.000 0.000 1.796
```

Properties
Space group: P4/mmm (123)



(7)
The following is a DFT calculation (PBE) of crystalline BeP2IrN at its relaxed geometry.

```
5
Lattice="4.889 0.000 0.000 0.000 3.589 0.000 0.000 0.000 4.889" Properties=species:S:1:pos:R:3 pbc="T T T"
P 0.000 0.000 2.445
P 2.445 0.000 0.000
Ir 0.000 0.000 0.000
Be 2.445 1.794 2.445
N 0.000 1.794 0.000
```

Properties
Space group: P4/mmm (123)



(8)
The following is a DFT calculation (PBE) of crystalline PaBeIrN at its relaxed geometry.

```
8
Lattice="-1.081 -3.315 -1.735 3.725 -0.784 -0.822 0.663 -3.569 6.406" Properties=species:S:1:pos:R:3 pbc="T T T"
Pa 2.404 -3.309 4.825
Pa -0.419 -2.309 0.303
Be 2.085 -1.591 1.740
Be -0.100 -4.027 3.387
Ir 0.332 -1.784 3.203
Ir 1.653 -3.834 1.925
N 0.048 -4.823 4.816
N 1.937 -0.795 0.312
```

Properties
Space group: P4/nmm (129)



no.,Fermi-level density of states (states/eV per atom),uncorrected formation energy (eV per atom)
1,1.2151,0.31
2,0.7903,-0.52
3,0.2537,-0.98
4,0.8080,0.86
5,0.5207,0.52
6,0.5281,0.36
7,0.6436,1.03
8,1.1205,-1.01